The following is a PBE calculation of an optimized crystal structure of BaLi, from Alexandria.

## Properties
- DFT formation energy: 0.62 eV per atom
- Electronic total energy: -1.294 eV/atom
- E above lowest polymorph: 582 meV/atom

Cell: 7.9574 7.9574 7.9574 Å, 90.00 90.00 90.00°
Closest atoms and distances in Å follow each position.
Element x y z (fractional)
Ba 0.0000 0.0000 0.0000  4 Li 3.45
Li 0.7500 0.2500 0.7500  4 Ba 3.45
Ba 0.5000 0.0000 0.5000  4 Li 3.45
Li 0.2500 0.7500 0.7500  4 Ba 3.45
Li 0.2500 0.2500 0.2500  4 Ba 3.45
Li 0.7500 0.7500 0.2500  4 Ba 3.45
Ba 0.5000 0.5000 0.0000  4 Li 3.45
Ba 0.0000 0.5000 0.5000  4 Li 3.45

The following is a PBE calculation of an optimized crystal structure of Ba3Li, from Alexandria.

## Properties
- DFT formation energy: 0.13 eV per atom
- Electronic total energy: -1.788 eV/atom

Cell: 6.7261 6.7261 6.7261 Å, 60.00 60.00 60.00°
Closest atoms and distances in Å follow each position.
Element x y z (fractional)
Ba 0.0000 0.0000 0.0000  4 Li 4.12, 4 Ba 4.12
Ba 0.2500 0.2500 0.2500  8 Ba 4.12
Li 0.7500 0.7500 0.7500  8 Ba 4.12
Ba 0.5000 0.5000 0.5000  4 Ba 4.12, 4 Li 4.12

The following is a PBE calculation of an optimized crystal structure of BaLi, from Alexandria.

## Properties
- DFT formation energy: 0.06 eV per atom
- Electronic total energy: -1.856 eV/atom
- E above lowest polymorph: 19 meV/atom

Cell: 7.6655 11.2705 12.2754 Å, 90.00 90.00 90.00°
Closest atoms and distances in Å follow each position.
Element x y z (fractional)
Li 0.7500 0.5441 0.9292  9 Ba 3.81-4.26
Li 0.7500 0.6513 0.3682  2 Li 3.04
Li 0.0000 0.2500 0.4620  2 Li 3.04
Ba 0.7500 0.8710 0.7993  5 Li 3.77-4.01
Ba 0.2500 0.0231 0.6241  9 Li 3.67-4.10
Li 0.7500 0.1513 0.6318  2 Li 3.04
Li 0.2500 0.9559 0.9292  9 Ba 3.81-4.26
Ba 0.0000 0.7500 0.1201  6 Li 3.77-3.88, 2 Ba 3.83
Ba 0.2500 0.5231 0.3759  9 Li 3.67-4.10
Ba 0.0000 0.2500 0.8799  6 Li 3.77-3.88, 2 Ba 3.83
Ba 0.7500 0.4769 0.6241  9 Li 3.67-4.10
Li 0.5000 0.7500 0.5380  2 Li 3.04
Li 0.7500 0.0441 0.0708  9 Ba 3.81-4.26
Li 0.2500 0.4559 0.0708  9 Ba 3.81-4.26
Ba 0.5000 0.7500 0.1201  6 Li 3.77-3.88, 2 Ba 3.83
Ba 0.5000 0.2500 0.8799  6 Li 3.77-3.88, 2 Ba 3.83
Ba 0.2500 0.6290 0.7993  5 Li 3.77-4.01
Ba 0.2500 0.1290 0.2007  5 Li 3.77-4.01
Ba 0.7500 0.9769 0.3759  9 Li 3.67-4.10
Li 0.0000 0.7500 0.5380  2 Li 3.04
Li 0.2500 0.8487 0.3682  2 Li 3.04
Ba 0.7500 0.3710 0.2007  5 Li 3.77-4.01
Li 0.2500 0.3487 0.6318  2 Li 3.04
Li 0.5000 0.2500 0.4620  2 Li 3.04

The following is a PBE calculation of an optimized crystal structure of Ba3Li4, from Alexandria.

## Properties
- DFT formation energy: 0.05 eV per atom
- Electronic total energy: -1.870 eV/atom
- E above lowest polymorph: 0 meV/atom

Cell: 16.1284 16.1284 16.1284 Å, 165.31 165.31 20.83°
Closest atoms and distances in Å follow each position.
Element x y z (fractional)
Li 0.5794 0.5794 0.0000  4 Li 3.13
Li 0.1154 0.1154 0.0000  4 Li 3.13
Li 0.8846 0.8846 0.0000  4 Li 3.13
Li 0.4206 0.4206 0.0000  4 Li 3.13
Ba 0.6943 0.6943 0.0000  5 Li 3.64-3.84
Ba 0.3057 0.3057 0.0000  5 Li 3.64-3.84
Ba 0.0000 0.0000 0.0000  10 Li 3.66-3.85